Record 1
{"formula": "YInW", "functional": "GGA-PBE", "state": "relaxed", "dos_ef_per_ev_atom": 1.0011, "de_polymorph_ev_per_atom": 0.999, "total_magnetization_mub_per_cell": 10.0, "delta_e_f_ev_per_atom": 1.354, "lattice": [[6.943, 0.000, 0.000], [0.000, 6.943, 0.000], [0.000, 0.000, 6.943]], "species": ["Y", "Y", "Y", "Y", "In", "In", "In", "In", "W", "W", "W", "W"], "frac_coords": [[0.000, 0.000, 0.000], [0.000, 0.500, 0.500], [0.500, 0.000, 0.500], [0.500, 0.500, 0.000], [0.250, 0.250, 0.250], [0.250, 0.750, 0.750], [0.750, 0.250, 0.750], [0.750, 0.750, 0.250], [0.250, 0.250, 0.750], [0.250, 0.750, 0.250], [0.750, 0.250, 0.250], [0.750, 0.750, 0.750]]}



Record 2
{"formula": "YInW3", "functional": "GGA-PBE", "state": "relaxed", "dos_ef_per_ev_atom": 1.0255, "de_polymorph_ev_per_atom": 0.581, "total_magnetization_mub_per_cell": 0.0, "delta_e_f_ev_per_atom": 2.858, "lattice": [[4.869, 0.000, 0.000], [0.000, 4.869, 0.000], [0.000, 0.000, 4.869]], "species": ["Y", "In", "W", "W", "W"], "frac_coords": [[0.000, 0.000, 0.000], [0.500, 0.500, 0.500], [0.000, 0.000, 0.500], [0.000, 0.500, 0.000], [0.500, 0.000, 0.000]]}



Record 3
{"formula": "Zn2InW", "functional": "GGA-PBE", "state": "relaxed", "dos_ef_per_ev_atom": 0.7304, "total_magnetization_mub_per_cell": 0.0, "delta_e_f_ev_per_atom": 0.396, "lattice": [[3.896, 0.000, 0.000], [0.000, 4.056, 0.000], [0.000, 0.000, 8.814]], "species": ["Zn", "Zn", "Zn", "Zn", "In", "In", "W", "W"], "frac_coords": [[0.000, 0.000, 0.000], [0.000, 0.500, 0.222], [0.500, 0.000, 0.222], [0.500, 0.500, 0.000], [0.000, 0.000, 0.508], [0.500, 0.500, 0.508], [0.000, 0.500, 0.774], [0.500, 0.000, 0.774]]}



Record 4
{"formula": "Zn2InW", "functional": "GGA-PBE", "state": "relaxed", "dos_ef_per_ev_atom": 1.0872, "total_magnetization_mub_per_cell": 0.0, "delta_e_f_ev_per_atom": 0.728, "lattice": [[7.236, 0.000, 0.000], [0.000, 7.236, 0.000], [0.000, 0.000, 5.553]], "species": ["Zn", "Zn", "Zn", "Zn", "Zn", "Zn", "Zn", "Zn", "In", "In", "In", "In", "W", "W", "W", "W"], "frac_coords": [[0.243, 0.750, 0.125], [0.250, 0.243, 0.875], [0.250, 0.257, 0.375], [0.257, 0.750, 0.625], [0.743, 0.250, 0.625], [0.750, 0.743, 0.375], [0.750, 0.757, 0.875], [0.757, 0.250, 0.125], [0.000, 0.000, 0.500], [0.000, 0.500, 0.750], [0.500, 0.000, 0.250], [0.500, 0.500, 0.000], [0.000, 0.000, 0.000], [0.000, 0.500, 0.250], [0.500, 0.000, 0.750], [0.500, 0.500, 0.500]]}